Record 1
Ho2BeZnRh2 | PBE | relaxed

- DOS(E_F): 5.40 states/eV/cell
- Energy relative to the elements: -373 kJ/mol of formula units

a b c (Å): 7.846 7.846 7.846
angles (deg): 137.22 61.26 138.33
Fractional coordinates of all 12 atoms:
Ho 0.169 0.227 0.396
Ho 0.331 0.727 0.058
Ho 0.669 0.273 0.942
Ho 0.831 0.773 0.604
Be 0.250 0.750 0.500
Be 0.750 0.250 0.500
Zn 0.250 0.250 0.000
Zn 0.750 0.750 0.000
Rh 0.111 0.703 0.814
Rh 0.389 0.203 0.592
Rh 0.611 0.797 0.408
Rh 0.889 0.297 0.186

---

Record 2
SiMoP | PBE | relaxed

- DOS(E_F): 1.11 states/eV/cell
- Uncorrected formation energy: -0.37 eV/atom

a b c (Å): 4.659 4.659 7.441
angles (deg): 116.05 116.05 39.47
Fractional coordinates of all 6 atoms:
Si 0.000 0.000 0.000
Si 0.528 0.528 0.643
Mo 0.284 0.284 0.730
Mo 0.978 0.978 0.337
P 0.289 0.289 0.069
P 0.735 0.735 0.437